Record 1
! ZrTiI2O | the Alexandria database | GGA-PBE | optimized geometry; values from VASP
&SYSTEM
  ibrav = 0, nat = 5, ntyp = 4
/
ATOMIC_SPECIES
I 126.90 I.upf
O 16.00 O.upf
Zr 91.22 Zr.upf
Ti 47.87 Ti.upf
ATOMIC_POSITIONS crystal
I 0.000 0.500 0.000
I 0.500 0.000 0.000
O 0.000 0.000 0.500
Zr 0.500 0.500 0.500
Ti 0.000 0.000 0.000
CELL_PARAMETERS angstrom
-5.022 -2.516 -1.132
1.144 -4.039 3.900
-1.623 2.064 2.614
! Magnetization ... 2.953 μB/cell
! Energy ... -5.574 eV/atom
! Crystal system ... tetragonal
! E_form (uncorrected) ... -0.6739 eV per atom
! Offset from the most stable computed form ... 0 meV per atom

Record 2
! KSrAl2 | the Alexandria database | GGA-PBE | optimized geometry; values from VASP
&SYSTEM
  ibrav = 0, nat = 4, ntyp = 3
/
ATOMIC_SPECIES
Sr 87.62 Sr.upf
K 39.10 K.upf
Al 26.98 Al.upf
ATOMIC_POSITIONS crystal
Sr 0.500 0.500 0.500
K 0.000 0.000 0.000
Al 0.250 0.250 0.250
Al 0.750 0.750 0.750
CELL_PARAMETERS angstrom
1.875 -2.393 4.770
-1.512 2.131 5.017
-3.574 -2.858 3.325
! Formation energy ... 0.257 eV/atom
! Magnetization ... 0.000 μB/cell
! Energy ... -2.309 eV/atom
! Crystal system ... cubic
! Offset from the most stable computed form ... 176 meV per atom

Record 3
! Hf3TiTl | the Alexandria database | GGA-PBE | optimized geometry; values from VASP
&SYSTEM
  ibrav = 0, nat = 10, ntyp = 3
/
ATOMIC_SPECIES
Hf 178.49 Hf.upf
Ti 47.87 Ti.upf
Tl 204.38 Tl.upf
ATOMIC_POSITIONS crystal
Hf 0.364 0.729 0.564
Hf 0.636 0.271 0.436
Hf 0.754 0.508 0.746
Hf 0.246 0.492 0.254
Hf 0.064 0.129 0.660
Hf 0.936 0.871 0.340
Ti 0.948 0.895 0.838
Ti 0.052 0.105 0.162
Tl 0.634 0.268 0.962
Tl 0.366 0.732 0.038
CELL_PARAMETERS angstrom
3.074 0.000 0.000
-1.537 7.637 -0.404
0.000 -2.727 9.426
! Formation energy ... 0.125 eV/atom
! Magnetization ... 0.000 μB/cell
! Energy ... -7.899 eV/atom
! Crystal system ... monoclinic
! Offset from the most stable computed form ... 79 meV per atom

Record 4
! AgSn | the Alexandria database | GGA-PBE | optimized geometry; values from VASP
&SYSTEM
  ibrav = 0, nat = 12, ntyp = 2
/
ATOMIC_SPECIES
Ag 107.87 Ag.upf
Sn 118.71 Sn.upf
ATOMIC_POSITIONS crystal
Ag 0.250 0.000 0.500
Ag 0.750 0.000 0.500
Ag 0.000 0.500 0.250
Ag 0.000 0.500 0.750
Ag 0.500 0.250 0.000
Ag 0.500 0.750 0.000
Sn 0.250 0.500 0.000
Sn 0.750 0.500 0.000
Sn 0.500 0.000 0.250
Sn 0.500 0.000 0.750
Sn 0.000 0.250 0.500
Sn 0.000 0.750 0.500
CELL_PARAMETERS angstrom
7.773 0.000 0.000
0.000 7.773 0.000
0.000 0.000 7.773
! Formation energy ... 0.513 eV/atom
! Magnetization ... 0.000 μB/cell
! Energy ... -2.914 eV/atom
! Crystal system ... cubic

Record 5
! EuZnSnPd | the Alexandria database | GGA-PBE | optimized geometry; values from VASP
&SYSTEM
  ibrav = 0, nat = 4, ntyp = 4
/
ATOMIC_SPECIES
Eu 151.96 Eu.upf
Zn 65.41 Zn.upf
Sn 118.71 Sn.upf
Pd 106.42 Pd.upf
ATOMIC_POSITIONS crystal
Eu 0.750 0.750 0.750
Zn 0.500 0.500 0.500
Sn 0.250 0.250 0.250
Pd 0.000 0.000 0.000
CELL_PARAMETERS angstrom
-3.049 3.016 -2.411
-4.756 -1.170 -0.470
-3.414 2.538 2.472
! Formation energy ... -0.495 eV/atom
! Magnetization ... 6.914 μB/cell
! Energy ... -5.681 eV/atom
! Crystal system ... cubic

Record 6
! Nd4TaN5 | the Alexandria database | GGA-PBE | optimized geometry; values from VASP
&SYSTEM
  ibrav = 0, nat = 10, ntyp = 3
/
ATOMIC_SPECIES
Nd 144.24 Nd.upf
Ta 180.95 Ta.upf
N 14.01 N.upf
ATOMIC_POSITIONS crystal
Nd 0.397 0.408 0.802
Nd 0.805 0.802 0.592
Nd 0.199 0.198 0.408
Nd 0.607 0.592 0.198
Ta 0.055 0.000 0.000
N 0.916 0.353 0.826
N 0.268 0.826 0.647
N 0.742 0.174 0.353
N 0.094 0.647 0.174
N 0.428 0.000 0.000
CELL_PARAMETERS angstrom
-1.895 4.202 2.325
-2.502 -0.994 5.491
3.969 2.990 3.564
! Magnetization ... 0.000 μB/cell
! Energy ... -8.569 eV/atom
! Crystal system ... tetragonal
! E_form (uncorrected) ... -1.3141 eV per atom

Record 7
! ScCu2Ag2 | the Alexandria database | GGA-PBE | optimized geometry; values from VASP
&SYSTEM
  ibrav = 0, nat = 5, ntyp = 3
/
ATOMIC_SPECIES
Sc 44.96 Sc.upf
Cu 63.55 Cu.upf
Ag 107.87 Ag.upf
ATOMIC_POSITIONS crystal
Sc 0.000 0.000 0.000
Cu 0.403 0.403 0.194
Cu 0.597 0.597 0.806
Ag 0.750 0.250 0.500
Ag 0.250 0.750 0.500
CELL_PARAMETERS angstrom
-0.801 -2.270 -3.010
0.406 -3.112 2.238
-5.977 -2.463 0.979
! Formation energy ... 0.016 eV/atom
! Magnetization ... 0.000 μB/cell
! Energy ... -4.029 eV/atom
! Crystal system ... tetragonal
! Offset from the most stable computed form ... 29 meV per atom

Record 8
! BaCdPb | the Alexandria database | GGA-PBE | optimized geometry; values from VASP
&SYSTEM
  ibrav = 0, nat = 6, ntyp = 3
/
ATOMIC_SPECIES
Ba 137.33 Ba.upf
Cd 112.41 Cd.upf
Pb 207.20 Pb.upf
ATOMIC_POSITIONS crystal
Ba 0.544 0.544 0.205
Ba 0.456 0.456 0.795
Cd 0.156 0.156 0.401
Cd 0.844 0.844 0.599
Pb 0.835 0.835 0.231
Pb 0.165 0.165 0.769
CELL_PARAMETERS angstrom
-1.770 5.370 -3.685
-5.951 2.625 -1.803
-3.714 7.372 2.502
! Formation energy ... -0.456 eV/atom
! Magnetization ... 0.000 μB/cell
! Energy ... -2.638 eV/atom
! Crystal system ... monoclinic

Record 9
! Cs2NaAgS | the Alexandria database | GGA-PBE | optimized geometry; values from VASP
&SYSTEM
  ibrav = 0, nat = 5, ntyp = 4
/
ATOMIC_SPECIES
Cs 132.91 Cs.upf
Na 22.99 Na.upf
S 32.06 S.upf
Ag 107.87 Ag.upf
ATOMIC_POSITIONS crystal
Cs 0.000 0.500 0.000
Cs 0.500 0.000 0.000
Na 0.000 0.000 0.500
S 0.000 0.000 0.000
Ag 0.500 0.500 0.500
CELL_PARAMETERS angstrom
6.850 0.000 0.000
0.000 6.850 0.000
0.000 0.000 5.205
! Magnetization ... 0.000 μB/cell
! Energy ... -2.511 eV/atom
! Crystal system ... tetragonal
! E_form (uncorrected) ... -0.5102 eV per atom
! Offset from the most stable computed form ... 0 meV per atom

Record 10
! Ti2TcHBr | the Alexandria database | GGA-PBE | optimized geometry; values from VASP
&SYSTEM
  ibrav = 0, nat = 5, ntyp = 4
/
ATOMIC_SPECIES
H 1.01 H.upf
Tc 98.00 Tc.upf
Br 79.90 Br.upf
Ti 47.87 Ti.upf
ATOMIC_POSITIONS crystal
H 0.000 0.000 0.000
Tc 0.500 0.500 0.500
Br 0.000 0.500 0.000
Ti 0.000 0.000 0.500
Ti 0.500 0.000 0.000
CELL_PARAMETERS angstrom
-1.721 1.731 3.047
1.762 -3.141 2.779
3.161 2.231 0.518
! Magnetization ... 0.001 μB/cell
! Energy ... -5.856 eV/atom
! Crystal system ... tetragonal

Record 11
! YUNi10 | the Alexandria database | GGA-PBE | optimized geometry; values from VASP
&SYSTEM
  ibrav = 0, nat = 12, ntyp = 3
/
ATOMIC_SPECIES
Y 88.91 Y.upf
U 238.03 U.upf
Ni 58.69 Ni.upf
ATOMIC_POSITIONS crystal
Y 0.000 0.000 0.000
U 0.000 0.500 0.500
Ni 0.000 0.000 0.339
Ni 0.000 0.500 0.822
Ni 0.000 0.500 0.178
Ni 0.000 0.000 0.661
Ni 0.500 0.000 0.500
Ni 0.500 0.500 0.000
Ni 0.500 0.253 0.254
Ni 0.500 0.747 0.746
Ni 0.500 0.747 0.254
Ni 0.500 0.253 0.746
CELL_PARAMETERS angstrom
-2.623 0.377 -2.970
-0.749 -4.796 0.053
-6.159 1.024 5.570
! Formation energy ... -0.275 eV/atom
! Magnetization ... 0.913 μB/cell
! Energy ... -6.572 eV/atom
! Crystal system ... orthorhombic

Record 12
! OsRu2W2 | the Alexandria database | GGA-PBE | optimized geometry; values from VASP
&SYSTEM
  ibrav = 0, nat = 10, ntyp = 3
/
ATOMIC_SPECIES
Ru 101.07 Ru.upf
Os 190.23 Os.upf
W 183.84 W.upf
ATOMIC_POSITIONS crystal
Ru 0.371 0.871 0.000
Ru 0.871 0.629 0.000
Ru 0.629 0.129 0.000
Ru 0.129 0.371 0.000
Os 0.000 0.000 0.000
Os 0.500 0.500 0.000
W 0.171 0.671 0.500
W 0.671 0.829 0.500
W 0.829 0.329 0.500
W 0.329 0.171 0.500
CELL_PARAMETERS angstrom
7.293 0.000 0.000
0.000 7.293 0.000
0.000 0.000 2.897
! Formation energy ... 0.326 eV/atom
! Magnetization ... 0.000 μB/cell
! Energy ... -10.811 eV/atom
! Crystal system ... tetragonal
! Offset from the most stable computed form ... 9 meV per atom